MnSi2Pd2 | GGA-PBE | relaxed

Structure (POSCAR):
```
MnSi2Pd2
1.0
6.1534 0.0000 0.0000
0.0000 6.1534 0.0000
0.0000 0.0000 3.6409
Mn Si Pd
2 4 4
Direct
0.0000 0.0000 0.0000 Mn
0.5000 0.5000 0.0000 Mn
0.1434 0.3566 0.0000 Si
0.3566 0.8566 0.0000 Si
0.6434 0.1434 0.0000 Si
0.8566 0.6434 0.0000 Si
0.1683 0.6683 0.5000 Pd
0.3317 0.1683 0.5000 Pd
0.6683 0.8317 0.5000 Pd
0.8317 0.3317 0.5000 Pd
```

Density of states at the Fermi level (states/eV/f.u.): 4.4
Volume (Å³/cell): 137.86
Final energy (hartree per atom): -0.2291
Symmetry: P4/mbm (127)
Formation energy from raw total energies (eV/f.u.): -0.772